The following is a DFT calculation (PBE) of a relaxed Y2Zn6In crystal.

- crystal system = trigonal
- total DFT energy (no corrections) (eV per cell) = -26.00
- D(E_F) (states/eV per cell) = 6.5
- energy relative to the elements (eV per atom) = -0.30

a = 5.8199 Å, b = 5.8199 Å, c = 5.8893 Å
α = 90.00°, β = 90.00°, γ = 120.00°
Space group P-3m1 (No. 164)
Asymmetric unit:
Y: 0.3333 0.6667 0.1474 [2 per cell]
Zn: 0.1831 0.3662 0.6527 [6 per cell]
In: 0.0000 0.0000 0.0000 [1 per cell]



The following is a DFT calculation (PBE) of a relaxed YZnIn crystal.

- crystal system = orthorhombic
- total DFT energy (no corrections) (eV per cell) = -47.29
- D(E_F) (states/eV per cell) = 6.8
- energy relative to the elements (eV per atom) = -0.45

a = 4.665 Å, b = 7.255 Å, c = 8.170 Å
α = 90.00°, β = 90.00°, γ = 90.00°
Space group Imm2 (No. 44)
Asymmetric unit:
Y: 0.000 0.000 0.000 [2 per cell]
Y: 0.000 0.500 0.009 [2 per cell]
Zn: 0.000 0.205 0.673 [4 per cell]
In: 0.000 0.231 0.336 [4 per cell]